Material: Zn2CrAsO
Method: DFT, SCAN
State: PBEsol geometry

* SG: P4/mmm, No. 123
* ρ: 4.556 g cm⁻³
* magnetic moment: 4.34 μB per cell
* formation energy from raw total energies: 0.601 eV per atom

Geometry as extended XYZ:
```
5
Lattice="-2.2964 -3.9355 -0.5406 -0.2172 -0.4991 4.5561 -4.0966 2.3814 0.0656" Properties=species:S:1:pos:R:3 pbc="T T T"
Cr -2.0483 1.1907 0.0328
As 0.0000 0.0000 0.0000
Zn -0.1086 -0.2495 2.2780
Zn -1.1482 -1.9678 -0.2703
O -3.3051 -1.0266 2.0406
```

=====

Material: SrLa2As
Method: DFT, SCAN
State: PBEsol geometry

* SG: Cm, No. 8
* formation energy: -0.605 eV/atom
* ρ: 5.478 g cm⁻³
* magnetic moment: 0.55 μB per cell

Geometry as extended XYZ:
```
4
Lattice="3.9605 0.0000 0.0000 1.9802 6.0186 -0.1032 1.9802 2.3079 5.5607" Properties=species:S:1:pos:R:3 pbc="T T T"
Sr 3.9605 3.9018 2.0451
As 1.9802 1.3539 2.1804
La 5.9407 3.1089 5.4936
La 5.9407 6.4331 4.0279
```